A plane-wave DFT calculation with meta-GGA SCAN was carried out for a crystal of BaNa2GaHg relaxed with PBEsol.

Unit cell a=5.5745 b=5.5745 c=5.1916 alpha=90.00 beta=90.00 gamma=90.00
Space group P4/mmm (No. 123)
Unique sites:
Ba  0.0000  0.0000  0.0000
Na  0.0000  0.5000  0.5000
Ga  0.5000  0.5000  0.5000
Hg  0.5000  0.5000  0.0000

Results
Energy of formation from the pure elements   -0.117 eV per atom
D(E_F)   2.88 states/eV/cell